(1)
! BaHoTm4Se8 PBE relaxed; values from VASP
! * energy relative to the elements, uncorrected: -1.743 eV/atom
! * M_tot: 0.00 μB/cell
&SYSTEM
  ibrav = 0, nat = 14, ntyp = 4
/
ATOMIC_SPECIES
Ba 137.33 Ba.upf
Tm 168.93 Tm.upf
Se 78.96 Se.upf
Ho 164.93 Ho.upf
ATOMIC_POSITIONS angstrom
Ba 0.2231 -0.9222 11.5487
Tm 1.6546 -0.8136 3.8832
Se 0.7410 -0.8707 8.6097
Se -0.6541 -0.1831 5.3148
Se -2.0419 -2.7905 12.0853
Tm -4.0850 0.6417 8.9631
Ho 3.2881 -1.6142 7.6808
Tm 0.5157 1.5170 7.1906
Se -0.5728 1.8178 12.4249
Tm -0.7578 -2.4779 6.8962
Se -3.3633 -1.8871 8.1441
Se -4.5784 0.5993 11.6726
Se -2.0047 2.3749 8.4582
Se -3.0308 -0.1616 15.3032
CELL_PARAMETERS angstrom
-2.3073 4.7216 6.7003
-4.8873 -3.3716 6.1039
3.3206 -1.6260 7.7003

***

(2)
! Cs2LiHgBr5 PBE relaxed; values from VASP
! * energy relative to the elements, uncorrected: -1.289 eV/atom
! * M_tot: 0.00 μB/cell
&SYSTEM
  ibrav = 0, nat = 18, ntyp = 4
/
ATOMIC_SPECIES
Br 79.90 Br.upf
Li 6.94 Li.upf
Cs 132.91 Cs.upf
Hg 200.59 Hg.upf
ATOMIC_POSITIONS angstrom
Br 2.3313 4.2679 2.1924
Br 2.3313 8.6342 7.6577
Br 0.0000 5.9891 9.5551
Br 0.0000 1.6227 0.2949
Br 2.3313 4.0356 12.9049
Br 2.3313 0.0930 11.8311
Li 0.0000 8.6127 6.3872
Cs 0.0000 2.6370 4.5464
Cs 2.3313 7.6200 11.9092
Hg 0.0000 4.3047 0.3297
Cs 0.0000 2.4509 10.3604
Br 0.0000 6.9212 0.1003
Li 2.3313 1.6442 13.7500
Br 0.0000 10.1640 4.4684
Cs 2.3313 7.8061 2.9976
Hg 2.3313 5.9522 7.6924
Br 2.3313 3.3358 7.4631
Br 0.0000 6.2214 5.5422
CELL_PARAMETERS angstrom
4.6627 0.0000 0.0000
-2.3313 10.2569 0.0000
0.0000 0.0000 14.7255

***

(3)
! HgW PBE relaxed; values from VASP
! * energy relative to the elements: 2.24 eV/atom
! * M_tot: 0.00 μB/cell
&SYSTEM
  ibrav = 0, nat = 4, ntyp = 2
/
ATOMIC_SPECIES
Hg 200.59 Hg.upf
W 183.84 W.upf
ATOMIC_POSITIONS angstrom
Hg 2.8661 -2.6651 2.9152
W 2.8527 -0.2176 3.9536
Hg 0.3437 0.1891 2.9623
W 0.3571 -2.2584 1.9240
CELL_PARAMETERS angstrom
-0.9243 2.8400 3.5051
-0.8840 -4.5024 0.3900
5.0181 -0.8135 1.9824

***

Ordered electronic total energy results: -5.476 -2.654 -4.383; unit eV per atom.
Ordered N(E_F) results: 4.5 0.0 1.2; unit states/eV/f.u..